Compound: Ba2Mg2As
Source: the Alexandria database
Functional: GGA-PBE
Structure: relaxed

Computed properties:
Energy relative to the lowest polymorph listed for this composition   0.3546 eV/atom

Unit cell a=8.5869 b=8.5869 c=5.7892 alpha=90.00 beta=90.00 gamma=90.00
Last column: nearest neighbours and their distance in Å.
Space group P4/mbm (No. 127)
Inequivalent atoms, fractional coordinates:
Ba1 0.1669 0.3331 0.0000 [4 per cell]  2 As 3.20
Mg1 0.1414 0.6414 0.5000 [4 per cell]  1 Mg 3.43, 2 Ba 3.71
As1 0.0000 0.0000 0.0000 [2 per cell]  4 Ba 3.20

---

Compound: PrDyGa
Source: the Alexandria database
Functional: GGA-PBE
Structure: relaxed

Computed properties:
Energy relative to the lowest polymorph listed for this composition   0.2752 eV/atom

Unit cell a=3.6468 b=3.6468 c=15.0915 alpha=90.00 beta=90.00 gamma=120.00
Last column: nearest neighbours and their distance in Å.
Space group P-3m1 (No. 164)
Inequivalent atoms, fractional coordinates:
Pr1 0.3333 0.6667 0.3956 [2 per cell]  9 Pr 3.65-3.79, 3 Dy 3.65
Dy1 0.3333 0.6667 0.8021 [2 per cell]  3 Ga 3.03
Ga1 0.3333 0.6667 0.0534 [2 per cell]  3 Ga 2.65